# 1
The following is a PBE-GGA calculation of a relaxed structure of As5Pt3Au, from OQMD via LeMat-Bulk.

Properties
Symmetry = P6/mmm
Total energy = -4.781 eV per atom
Theoretical density = 10.4 g/cm³

```
9
Lattice="-4.182 1.140 3.537 4.793 -2.142 1.933 2.463 6.304 0.880" Properties=species:S:1:pos:R:3 pbc="T T T"
As 1.232 3.152 0.440
Au 0.000 0.000 0.000
Pt 3.628 2.081 1.406
As -0.677 1.359 3.186
As 3.752 3.943 3.164
As 2.314 0.265 2.651
Pt 1.537 2.651 3.175
Pt -0.859 3.722 2.209
As 0.760 5.037 3.699
```

# 2
The following is a PBE-GGA calculation of a relaxed structure of FeCuPbSe3, from OQMD via LeMat-Bulk.

Properties
Symmetry = Pnma
Total energy = -4.550 eV per atom
Theoretical density = 7.4 g/cm³

```
24
Lattice="-0.391 3.883 9.039 0.874 -3.408 1.502 13.139 3.042 -0.738" Properties=species:S:1:pos:R:3 pbc="T T T"
Se 5.074 2.054 4.147
Cu 10.837 0.793 2.805
Se 8.968 2.212 2.240
Se 12.235 0.329 0.941
Se 8.485 3.078 9.358
Cu 3.831 0.979 2.431
Se 8.547 1.462 5.656
Fe 3.798 0.074 5.267
Fe 10.109 1.522 0.012
Se 1.385 3.187 8.862
Se 2.844 -1.101 3.156
Se 10.777 4.618 6.647
Fe 9.823 3.443 4.536
Pb 6.980 -0.161 2.885
Se 1.644 1.617 5.150
Fe 3.512 1.994 9.791
Pb 6.641 3.677 6.918
Se 5.136 0.439 0.445
Pb 13.100 3.186 2.047
Cu 9.790 2.537 7.372
Se 4.653 1.305 7.563
Cu 2.784 2.724 6.998
Se 11.977 1.899 4.653
Pb 0.520 0.331 7.756
```

# 3
The following is a PBE-GGA calculation of a relaxed structure of TmSe, from OQMD via LeMat-Bulk.

Properties
Symmetry = F-43m
Total energy = -5.248 eV per atom
Theoretical density = 6.6 g/cm³

```
2
Lattice="0.000 3.144 3.144 3.144 0.000 3.144 3.144 3.144 0.000" Properties=species:S:1:pos:R:3 pbc="T T T"
Tm 1.572 1.572 1.572
Se 0.000 0.000 0.000
```

# 4
The following is a PBE-GGA calculation of a relaxed structure of As2Pt2Pb, from OQMD via LeMat-Bulk.

Properties
Symmetry = I4/mmm
Total energy = -5.183 eV per atom
Theoretical density = 12.0 g/cm³

```
5
Lattice="-2.263 2.263 5.057 2.263 -2.263 5.057 2.263 2.263 -5.057" Properties=species:S:1:pos:R:3 pbc="T T T"
Pt 0.000 2.263 2.528
Pb 0.000 0.000 0.000
As 0.000 0.000 6.400
As 0.000 0.000 3.714
Pt 2.263 0.000 2.528
```

# 5
The following is a PBE-GGA calculation of a relaxed structure of RbAg2PSe2O2, from OQMD via LeMat-Bulk.

Properties
Symmetry = C2
Total energy = -4.514 eV per atom
Theoretical density = 5.0 g/cm³

```
8
Lattice="-3.739 1.394 4.491 -4.708 -3.637 0.835 5.588 -2.324 1.716" Properties=species:S:1:pos:R:3 pbc="T T T"
Ag 2.217 -2.375 2.593
Se 0.956 -0.781 4.370
Ag -5.092 -2.273 4.390
P -4.652 -3.347 1.045
O -0.117 -5.153 3.768
Rb -1.504 -2.673 3.238
O -3.341 -2.528 1.011
Se -3.180 -0.491 5.067
```

# 6
The following is a PBE-GGA calculation of a relaxed structure of HfCd2Ag, from OQMD via LeMat-Bulk.

Properties
Symmetry = F-43m
ΔH_f (0 K) = 0.04 eV/atom
Total energy = -3.603 eV per atom
Theoretical density = 10.7 g/cm³

```
4
Lattice="0.000 3.409 3.409 3.409 0.000 3.409 3.409 3.409 0.000" Properties=species:S:1:pos:R:3 pbc="T T T"
Ag 5.113 5.113 5.113
Cd 3.409 3.409 3.409
Cd 1.704 1.704 1.704
Hf 0.000 0.000 0.000
```

# 7
The following is a PBE-GGA calculation of a relaxed structure of HfNbPO, from OQMD via LeMat-Bulk.

Properties
Symmetry = P4/nmm
Total energy = -9.222 eV per atom
Theoretical density = 9.1 g/cm³

```
8
Lattice="-0.146 3.144 -2.044 0.963 -1.945 -3.061 -7.991 -1.419 -1.612" Properties=species:S:1:pos:R:3 pbc="T T T"
P -5.246 -1.990 -2.686
Hf -0.663 -1.176 -1.762
O 0.409 0.600 -2.552
O 0.000 0.000 0.000
Nb -3.587 -0.110 -3.359
Nb -3.995 -0.710 -0.806
Hf -6.919 0.356 -2.403
P -2.336 1.170 -1.478
```

# 8
The following is a PBE-GGA calculation of a relaxed structure of KMgFeS3, from OQMD via LeMat-Bulk.

Properties
Symmetry = Cmcm
Total energy = -4.647 eV per atom
Theoretical density = 2.6 g/cm³

```
12
Lattice="1.873 -7.236 0.000 1.873 7.236 0.000 0.000 0.000 9.970" Properties=species:S:1:pos:R:3 pbc="T T T"
S 1.873 -1.582 5.408
Mg 1.873 0.390 2.492
Fe 0.000 0.000 0.000
K 1.873 3.540 7.477
Fe 0.000 0.000 4.985
S 1.873 6.202 2.492
S 1.873 1.582 4.562
Mg 1.873 -0.390 7.477
S 1.873 -6.202 7.477
K 1.873 -3.540 2.492
S 1.873 -1.582 9.547
S 1.873 1.582 0.423
```

# 9
The following is a PBE-GGA calculation of a relaxed structure of AsPtW, from OQMD via LeMat-Bulk.

Properties
Symmetry = F-43m
Total energy = -7.556 eV per atom
Theoretical density = 14.5 g/cm³

```
3
Lattice="-3.875 0.838 1.365 -3.241 -0.170 -2.655 -2.820 -3.086 0.329" Properties=species:S:1:pos:R:3 pbc="T T T"
Pt -2.484 -0.604 -0.240
W -7.452 -1.813 -0.721
As 0.000 0.000 0.000
```

# 10
The following is a PBE-GGA calculation of a relaxed structure of ZrBeAgAu, from OQMD via LeMat-Bulk.

Properties
Symmetry = F-43m
Total energy = -4.701 eV per atom
Theoretical density = 9.9 g/cm³

```
4
Lattice="-3.673 -2.602 0.874 -3.515 -0.067 -2.944 -0.809 -3.745 -2.520" Properties=species:S:1:pos:R:3 pbc="T T T"
Ag -2.000 -1.603 -1.147
Zr 0.000 0.000 0.000
Au -5.999 -4.810 -3.442
Be -3.999 -3.207 -2.295
```

# 11
The following is a PBE-GGA calculation of a relaxed structure of TaTlTe2AuS, from OQMD via LeMat-Bulk.

Properties
Symmetry = Cmcm
Total energy = -4.919 eV per atom
Theoretical density = 8.1 g/cm³

```
12
Lattice="-9.062 1.153 -4.036 7.153 -4.136 5.608 -2.531 5.432 7.235" Properties=species:S:1:pos:R:3 pbc="T T T"
Tl -5.220 1.052 0.434
Tl 0.781 1.398 8.373
Au -5.555 3.465 4.604
Ta -1.266 2.716 3.617
S -10.954 5.226 1.393
Te -0.508 0.700 5.484
Te -1.738 3.338 8.997
Te -2.702 -0.888 -0.191
S 6.515 -2.776 7.414
Au 1.116 -1.015 4.202
Ta 0.000 0.000 0.000
Te -3.931 1.750 3.323
```

# 12
The following is a PBE-GGA calculation of a relaxed structure of Hf2NiPt, from OQMD via LeMat-Bulk.

Properties
Symmetry = Amm2
ΔH_f (0 K) = -0.82 eV/atom
Total energy = -8.705 eV per atom
Theoretical density = 14.4 g/cm³

```
4
Lattice="4.177 0.000 0.000 0.000 1.668 5.049 0.000 -1.668 5.049" Properties=species:S:1:pos:R:3 pbc="T T T"
Ni 0.000 0.000 5.969
Hf 2.088 0.000 1.409
Hf 0.000 0.000 8.629
Pt 2.088 0.000 4.188
```

# 13
The following is a PBE-GGA calculation of a relaxed structure of SnOsNO, from OQMD via LeMat-Bulk.

Properties
Symmetry = Pmc2_1
Total energy = -7.063 eV per atom
Theoretical density = 8.9 g/cm³

```
8
Lattice="-2.792 -0.358 1.029 1.285 -6.086 1.370 1.995 1.778 6.028" Properties=species:S:1:pos:R:3 pbc="T T T"
Os 1.730 -2.751 3.737
Sn 1.553 -3.544 7.344
N 1.956 -1.255 4.871
Sn -0.289 -0.430 3.430
N 1.178 -3.182 2.090
O 0.798 -3.809 5.204
O -0.899 -1.382 1.444
Os 2.487 -0.721 6.495
```

# 14
The following is a PBE-GGA calculation of a relaxed structure of RbPrU, from OQMD via LeMat-Bulk.

Properties
Symmetry = F-43m
Total energy = -3.753 eV per atom
Theoretical density = 5.1 g/cm³

```
3
Lattice="0.000 4.241 4.241 4.241 0.000 4.241 4.241 4.241 0.000" Properties=species:S:1:pos:R:3 pbc="T T T"
Pr 0.000 0.000 0.000
U 6.361 6.361 6.361
Rb 4.241 4.241 4.241
```

# 15
The following is a PBE-GGA calculation of a relaxed structure of HoMg, from OQMD via LeMat-Bulk.

Properties
Symmetry = Pmmn
Total energy = -3.071 eV per atom
Theoretical density = 5.8 g/cm³

```
16
Lattice="6.171 0.000 0.000 0.000 13.175 0.000 0.000 0.000 5.359" Properties=species:S:1:pos:R:3 pbc="T T T"
Ho 5.590 4.941 2.680
Mg 5.868 10.008 0.000
Ho 3.467 4.941 0.000
Mg 4.918 1.698 2.680
Mg 5.868 13.049 0.000
Mg 3.309 1.595 0.000
Ho 0.375 3.111 0.000
Mg 2.359 6.461 2.680
Ho 1.682 9.699 2.680
Ho 1.682 0.183 2.680
Mg 4.918 8.183 2.680
Ho 0.375 6.771 0.000
Ho 4.760 11.529 2.680
Mg 3.309 8.286 0.000
Mg 2.359 3.420 2.680
Ho 2.637 11.529 0.000
```

# 16
The following is a PBE-GGA calculation of a relaxed structure of Mg2Os, from OQMD via LeMat-Bulk.

Properties
Symmetry = Cmcm
Total energy = -4.693 eV per atom
Theoretical density = 7.8 g/cm³

```
12
Lattice="5.272 0.000 0.000 0.000 8.427 0.000 0.000 0.000 4.569" Properties=species:S:1:pos:R:3 pbc="T T T"
Os 0.319 0.000 0.000
Os 1.438 0.000 2.285
Mg 2.722 7.059 0.000
Os 2.955 4.213 0.000
Mg 4.307 1.368 2.285
Mg 1.671 5.581 2.285
Mg 4.307 7.059 2.285
Os 4.074 4.213 2.285
Mg 1.671 2.846 2.285
Mg 2.722 1.368 0.000
Mg 0.086 5.581 0.000
Mg 0.086 2.846 0.000
```

# 17
The following is a PBE-GGA calculation of a relaxed structure of ErSc2Al3Si2Ir, from OQMD via LeMat-Bulk.

Properties
Symmetry = Amm2
Total energy = -6.217 eV per atom
Theoretical density = 6.1 g/cm³

```
9
Lattice="4.120 0.000 0.000 0.000 5.834 3.335 0.000 -5.834 3.335" Properties=species:S:1:pos:R:3 pbc="T T T"
Al 2.060 -4.432 2.547
Si 2.060 1.987 3.326
Ir 0.000 0.000 0.060
Er 0.000 0.000 3.867
Al 2.060 4.432 2.547
Sc 0.000 3.397 4.708
Sc 0.000 -3.397 4.708
Si 2.060 -1.987 3.326
Al 2.060 0.000 1.589
```

# 18
The following is a PBE-GGA calculation of a relaxed structure of Mo3PC2, from OQMD via LeMat-Bulk.

Properties
Symmetry = P6_3/mmc
Total energy = -9.429 eV per atom
Theoretical density = 8.0 g/cm³

```
12
Lattice="-2.475 -1.194 -1.482 2.874 -0.986 -0.717 -1.211 -12.098 11.776" Properties=species:S:1:pos:R:3 pbc="T T T"
Mo 0.000 0.000 0.000
Mo -1.123 -5.435 2.969
Mo 0.054 -11.415 9.112
C 1.000 -1.964 -0.088
C 0.576 -6.196 4.032
Mo -0.866 -2.863 0.465
Mo -0.606 -6.049 5.888
C -1.388 -8.082 5.545
P -0.303 -3.024 2.944
P -0.908 -9.073 8.832
C -1.812 -12.314 9.665
Mo 0.311 -8.842 6.608
```

# 19
The following is a PBE-GGA calculation of a relaxed structure of Rb3U3Mo2, from OQMD via LeMat-Bulk.

Properties
Symmetry = R-3m
Total energy = -6.271 eV per atom
Theoretical density = 6.5 g/cm³

```
8
Lattice="-7.760 4.433 2.107 -3.046 6.204 6.046 -3.309 8.565 0.111" Properties=species:S:1:pos:R:3 pbc="T T T"
U -5.403 5.318 4.077
U -5.535 6.499 1.109
Mo -3.744 5.093 2.192
Rb -1.473 2.003 0.862
U -3.178 7.384 3.078
Mo -10.371 14.108 6.072
Rb -7.058 9.601 4.132
Rb -12.643 17.198 7.402
```

# 20
The following is a PBE-GGA calculation of a relaxed structure of NaZrFeAs, from OQMD via LeMat-Bulk.

Properties
Symmetry = F-43m
Total energy = -5.653 eV per atom
Theoretical density = 5.7 g/cm³

```
4
Lattice="-4.048 -1.312 1.889 -2.792 3.171 1.956 -4.012 1.155 -2.059" Properties=species:S:1:pos:R:3 pbc="T T T"
As 0.000 0.000 0.000
Zr -2.713 0.754 0.446
Fe -5.426 1.507 0.893
Na -8.139 2.261 1.339
```